First-principles (PBE) data for an optimized crystal structure of Hg3Mo2, as listed in Alexandria.

Cell lengths 10.7355, 14.9373, 4.8587 Å; angles 90.00, 90.00, 90.00 degrees
Last column: nearest neighbours and their distance in Å.
Space group Fdd2 (No. 43)
Inequivalent atoms, fractional coordinates:
Hg1 0.0000 0.0000 0.0000  6 Mo 2.88-3.15, 4 Hg 2.91-2.94
Hg2 0.0513 0.1026 0.4972  5 Mo 2.83-3.08, 4 Hg 2.91-3.02
Mo1 0.0179 0.2106 0.9772  2 Mo 2.73, 5 Hg 2.83-3.02

Electronic total energy, eV/f.u.: -19.05
Calculated formation energy, eV/atom: 0.703
Offset from the most stable computed form, eV per atom: 0.075
Theoretical density, g/cm³: 13.53